Compound: K3SbAs
Source: the Alexandria database
Functional: SCAN
Structure: single point on PBEsol structure

## Properties
Energy relative to the elements, uncorrected ... 0.1640 eV/atom
D(E_F) ... 4.23 states/eV/f.u.
Total magnetization ... 3.000 μB/cell

Cell and atoms, written as CIF:
```
data_K3SbAs
_symmetry_space_group_name_H-M 'P m -3 m'
_symmetry_Int_Tables_number 221
_symmetry_space_group_name_Hall '-P 4 2 3'
_cell_length_a 6.5458
_cell_length_b 6.5458
_cell_length_c 6.5458
_cell_angle_alpha 90.00
_cell_angle_beta 90.00
_cell_angle_gamma 90.00
loop_
_atom_site_label
_atom_site_fract_x
_atom_site_fract_y
_atom_site_fract_z
K1 0.0000 0.0000 0.5000
Sb1 0.0000 0.0000 0.0000
As1 0.5000 0.5000 0.5000
```